The following is a DFT calculation (GGA-PBE) of crystalline Pb2ClO2 at its relaxed geometry.

abc: 4.6925 4.6925 6.0402
angles: 67.14 67.14 90.00
Element x y z (fractional)
Pb: 0.2500 0.7500 0.5000
Pb: 0.7500 0.2500 0.5000
O: 0.6887 0.6887 0.6226
O: 0.3113 0.3113 0.3774
Cl: 0.0000 0.0000 0.0000

Calculated values
**Total magnetic moment**: 0.0 μB per cell
**V**: 22.227 A^3/atom
**DFT total energy**: -4.557 eV/atom
**Energy above the most stable polymorph in this dataset**: 299 meV/atom
**Space-group type**: I4/mmm, No. 139
**Formation energy from raw total energies**: -0.72 eV per atom

***

The following is a DFT calculation (GGA-PBE) of crystalline Pb2ClO at its relaxed geometry.

abc: 4.9681 4.9681 4.9681
angles: 60.00 60.00 60.00
Element x y z (fractional)
Cl: 0.5000 0.5000 0.5000
O: 0.0000 0.0000 0.0000
Pb: 0.2500 0.2500 0.2500
Pb: 0.7500 0.7500 0.7500

Calculated values
**Total magnetic moment**: 0.0 μB per cell
**V**: 21.677 A^3/atom
**DFT total energy**: -3.890 eV/atom
**Energy above the most stable polymorph in this dataset**: 606 meV/atom
**Space-group type**: Fm-3m, No. 225
**Formation energy from raw total energies**: -0.33 eV per atom

***

The following is a DFT calculation (GGA-PBE) of crystalline Pb2Cl3O at its relaxed geometry.

abc: 12.1848 12.1845 3.9763
angles: 90.00 90.00 120.00
Element x y z (fractional)
Cl: 0.6468 0.5093 0.0000
Pb: 0.9929 0.5361 0.5000
Cl: 0.5334 0.7066 0.5000
Pb: 0.5431 0.0071 0.5000
O: 0.5981 0.9572 0.0000
Pb: 0.1426 0.2682 0.0000
Pb: 0.1257 0.8575 0.0000
O: 0.0428 0.6409 0.0000
Cl: 0.9362 0.7925 0.5000
Pb: 0.7318 0.8743 0.0000
Cl: 0.1732 0.4666 0.5000
Cl: 0.2934 0.8268 0.5000
Cl: 0.8625 0.3532 0.0000
O: 0.3591 0.4019 0.0000
Cl: 0.4906 0.1375 0.0000
Cl: 0.8563 0.0638 0.5000
Pb: 0.4639 0.4568 0.5000
Cl: 0.2076 0.1438 0.5000

Calculated values
**Total magnetic moment**: 0.0 μB per cell
**V**: 28.402 A^3/atom
**DFT total energy**: -3.907 eV/atom
**Space-group type**: P-6, No. 174
**Formation energy from raw total energies**: -0.92 eV per atom

***

The following is a DFT calculation (GGA-PBE) of crystalline PbCl3O at its relaxed geometry.

abc: 4.6695 4.6695 4.6695
angles: 90.00 90.00 90.00
Element x y z (fractional)
Cl: 0.5000 0.0000 0.0000
Cl: 0.0000 0.5000 0.0000
Cl: 0.0000 0.0000 0.5000
Pb: 0.5000 0.5000 0.5000
O: 0.0000 0.0000 0.0000

Calculated values
**Total magnetic moment**: 0.0 μB per cell
**V**: 20.362 A^3/atom
**DFT total energy**: -2.882 eV/atom
**Energy above the most stable polymorph in this dataset**: 0 meV/atom
**Space-group type**: Pm-3m, No. 221
**Formation energy from raw total energies**: -0.04 eV per atom

***

The following is a DFT calculation (GGA-PBE) of crystalline Pb2ClO at its relaxed geometry.

abc: 6.2185 6.2185 7.7023
angles: 66.19 66.19 90.00
Element x y z (fractional)
Pb: 0.2203 0.6250 0.2500
Pb: 0.5297 0.1250 0.2500
O: 0.2500 0.7500 0.5000
Cl: 0.0000 0.0000 0.0000
Pb: 0.8750 0.7797 0.7500
Cl: 0.7500 0.2500 0.5000
O: 0.5000 0.5000 0.0000
Pb: 0.3750 0.4703 0.7500

Calculated values
**Total magnetic moment**: 0.0 μB per cell
**V**: 30.568 A^3/atom
**DFT total energy**: -4.219 eV/atom
**Energy above the most stable polymorph in this dataset**: 277 meV/atom
**Space-group type**: I-42d, No. 122
**Formation energy from raw total energies**: -0.66 eV per atom

***

The following is a DFT calculation (GGA-PBE) of crystalline Pb4Cl6O at its relaxed geometry.

abc: 7.2932 9.7226 9.7226
angles: 120.00 90.00 90.00
Element x y z (fractional)
Pb: 0.3491 0.8010 0.1990
Pb: 0.4147 0.3333 0.6667
Cl: 0.1314 0.4654 0.9308
Pb: 0.3491 0.3980 0.1990
Cl: 0.4620 0.1494 0.2987
Pb: 0.8491 0.6020 0.8010
Cl: 0.1314 0.4654 0.5346
O: 0.2498 0.6667 0.3333
Cl: 0.9620 0.8506 0.1494
Cl: 0.9620 0.8506 0.7013
O: 0.7498 0.3333 0.6667
Cl: 0.4620 0.1494 0.8506
Cl: 0.1314 0.0692 0.5346
Cl: 0.4620 0.7013 0.8506
Pb: 0.3491 0.8010 0.6020
Cl: 0.6314 0.5346 0.4654
Cl: 0.6314 0.5346 0.0692
Cl: 0.6314 0.9308 0.4654
Cl: 0.9620 0.2987 0.1494
Pb: 0.8491 0.1990 0.3980
Pb: 0.9147 0.6667 0.3333
Pb: 0.8491 0.1990 0.8010

Calculated values
**Total magnetic moment**: 0.0 μB per cell
**V**: 27.139 A^3/atom
**DFT total energy**: -3.972 eV/atom
**Space-group type**: P6_3mc, No. 186
**Formation energy from raw total energies**: -1.17 eV per atom